(1)
! Mg2PdO2 PBE relaxed; values from VASP
! Calculated volume in Å³/f.u.: 58.2
! DFT total energy in eV per cell: -47.528
! E above lowest polymorph in kJ/mol of atoms: 28.2
! Raw formation energy in eV per atom: -1.093
&SYSTEM
  ibrav = 0, nat = 10, ntyp = 3
/
ATOMIC_SPECIES
Pd 106.42 Pd.upf
O 16.00 O.upf
Mg 24.30 Mg.upf
CELL_PARAMETERS angstrom
6.457 0.000 0.000
0.000 6.457 0.000
0.000 0.000 2.789
ATOMIC_POSITIONS crystal
Pd 0.000 0.000 0.000
Pd 0.500 0.500 0.000
O 0.649 0.851 0.500
O 0.351 0.149 0.500
O 0.851 0.351 0.500
O 0.149 0.649 0.500
Mg 0.146 0.354 0.000
Mg 0.354 0.854 0.000
Mg 0.646 0.146 0.000
Mg 0.854 0.646 0.000



(2)
! HoErFeRu PBE relaxed; values from VASP
! Calculated volume in Å³/f.u.: 76.7
! DFT total energy in eV per cell: -27.270
! Calculated formation energy in meV/atom: -98
&SYSTEM
  ibrav = 0, nat = 4, ntyp = 4
/
ATOMIC_SPECIES
Fe 55.84 Fe.upf
Ru 101.07 Ru.upf
Ho 164.93 Ho.upf
Er 167.26 Er.upf
CELL_PARAMETERS angstrom
-3.081 2.285 -2.835
-4.682 -0.247 0.876
-2.330 3.837 1.612
ATOMIC_POSITIONS crystal
Fe 0.250 0.250 0.250
Ru 0.750 0.750 0.750
Ho 0.500 0.500 0.500
Er 0.000 0.000 0.000



(3)
! SrTl2Tc PBE relaxed; values from VASP
! Calculated volume in Å³/f.u.: 104.0
! DFT total energy in eV per cell: -14.701
! E above lowest polymorph in kJ/mol of atoms: 19.2
! Calculated formation energy in meV/atom: 520
&SYSTEM
  ibrav = 0, nat = 4, ntyp = 3
/
ATOMIC_SPECIES
Tc 98.00 Tc.upf
Tl 204.38 Tl.upf
Sr 87.62 Sr.upf
CELL_PARAMETERS angstrom
-0.245 4.737 0.196
-4.065 -0.109 -2.446
-2.371 -0.287 3.953
ATOMIC_POSITIONS crystal
Tc 0.000 0.500 0.500
Tl 0.000 0.000 0.000
Tl 0.500 0.500 0.000
Sr 0.500 0.000 0.500



(4)
! CrOsCl4 PBE relaxed; values from VASP
! Calculated volume in Å³/f.u.: 131.4
! DFT total energy in eV per cell: -19.189
! Raw formation energy in eV per atom: 1.508
&SYSTEM
  ibrav = 0, nat = 6, ntyp = 3
/
ATOMIC_SPECIES
Cr 52.00 Cr.upf
Cl 35.45 Cl.upf
Os 190.23 Os.upf
CELL_PARAMETERS angstrom
-4.185 -3.872 -0.253
-4.973 1.330 -2.463
-1.421 -2.342 -5.006
ATOMIC_POSITIONS crystal
Cr 0.750 0.750 0.750
Cl 0.374 0.877 0.374
Cl 0.374 0.374 0.877
Cl 0.877 0.374 0.374
Cl 0.374 0.374 0.374
Os 0.000 0.000 0.000